BaAs2 PBE optimized geometry; M_tot = 0.0 μB/cell; DOS(E_F) = 0.612 states/eV/atom; volume = 157 Å³ per cell; formation enthalpy at 0 K = -0.564 eV/atom; total DFT energy (no corrections) = -4.304 eV per atom
1.0
0.000 4.281 4.281
4.281 0.000 4.281
4.281 4.281 0.000
Ba As
2 4
Direct
0.125 0.125 0.125 Ba
0.875 0.875 0.875 Ba
0.000 0.500 0.500 As
0.500 0.000 0.500 As
0.500 0.500 0.000 As
0.500 0.500 0.500 As